No. 1
Computed, not measured: a geometry-optimized Mg3Os2 structure at the PBEsol level of DFT.

Cell: 2.832 2.832 11.607 Å, 82.99 82.99 60.00°
Fractional coordinates of all 5 atoms:
Mg  0.795  0.795  0.616
Os  0.398  0.398  0.806
Os  0.602  0.602  0.194
Mg  0.000  0.000  0.000
Mg  0.205  0.205  0.384

Calculated values
Space group = R-3m
N(E_F) = 4.14 states/eV per cell
Energy of formation from the pure elements = 7.3 kcal/mol of atoms

=====

No. 2
Computed, not measured: a geometry-optimized Tc2RuCl structure at the PBEsol level of DFT.

Cell: 2.816 3.935 5.111 Å, 90.00 105.19 90.00°
Fractional coordinates of all 4 atoms:
Cl  0.500  0.500  0.000
Tc  0.861  0.000  0.240
Tc  0.139  0.000  0.760
Ru  0.500  0.500  0.500

Calculated values
Space group = P2/m
ΔE_f (raw) = 0.50 eV per atom
Distance to the lowest polymorph of the same formula = 0.0000 eV/atom
N(E_F) = 3.42 states/eV per cell